# 1
A plane-wave DFT calculation with PBE-GGA was carried out for crystalline BaHoAgS3 at its relaxed geometry.

Geometry as extended XYZ:
```
12
Lattice="7.916 0.000 0.000 0.000 4.110 0.000 -2.923 0.000 9.281" Properties=species:S:1:pos:R:3 pbc="T T T"
S -2.128 1.027 7.993
Ag 2.947 1.027 5.537
Ag 2.046 3.082 3.744
Ba -0.136 3.082 6.637
S 2.934 3.082 1.375
Ho 3.906 3.082 7.884
Ba 5.130 1.027 2.644
Ho 1.087 1.027 1.397
S 7.121 3.082 1.288
S 4.509 3.082 5.137
S 0.484 1.027 4.144
S 2.059 1.027 7.906
```

Calculated values
Spin magnetization   0.001 μB per atom
Final energy   -5.2324 eV per atom
SG   P2_1/m

***

# 2
A plane-wave DFT calculation with PBE-GGA was carried out for crystalline ThB4Pt at its relaxed geometry.

Geometry as extended XYZ:
```
6
Lattice="3.311 0.000 0.000 -1.655 2.867 0.000 0.000 0.000 7.067" Properties=species:S:1:pos:R:3 pbc="T T T"
B 0.000 1.911 5.061
Th 0.000 0.000 0.000
B 1.655 0.956 5.061
B 1.655 0.956 2.006
Pt 0.000 0.000 3.534
B 0.000 1.911 2.006
```

Calculated values
Spin magnetization   0.001 μB per atom
ΔE to the lowest computed polymorph   0.038 eV per atom
SG   P6/mmm

***

# 3
A plane-wave DFT calculation with PBE-GGA was carried out for crystalline CsScTa at its relaxed geometry.

Geometry as extended XYZ:
```
3
Lattice="0.000 3.664 3.664 3.664 0.000 3.664 3.664 3.664 0.000" Properties=species:S:1:pos:R:3 pbc="T T T"
Sc 5.495 5.495 5.495
Ta 0.000 0.000 0.000
Cs 1.832 1.832 1.832
```

Calculated values
Spin magnetization   0.947 μB per atom
ΔE to the lowest computed polymorph   0.000 eV per atom
SG   F-43m

***

# 4
A plane-wave DFT calculation with PBE-GGA was carried out for crystalline FeCoSi2 at its relaxed geometry.

Geometry as extended XYZ:
```
8
Lattice="-2.674 3.523 -0.399 0.291 -0.279 -4.418 -3.524 -2.702 -0.061" Properties=species:S:1:pos:R:3 pbc="T T T"
Si -2.170 -0.088 -3.066
Fe -1.702 -0.597 -0.699
Si -2.339 2.482 -4.057
Si -3.515 -1.992 -1.625
Co -3.857 -1.374 -4.005
Fe -4.269 1.199 -3.209
Co -1.985 1.853 -1.858
Si -3.791 0.681 -0.994
```

Calculated values
Spin magnetization   0.249 μB per atom
Final energy   -7.1255 eV per atom
SG   P2_1

***

spin magnetization of number 2 (ThB4Pt)? 0.001 μB per atom

***

Which value of spin magnetization does entry 2 give? 0.001 μB per atom

***

Please write out number 4 again, unchanged.
A plane-wave DFT calculation with PBE-GGA was carried out for crystalline FeCoSi2 at its relaxed geometry.

Geometry as extended XYZ:
```
8
Lattice="-2.674 3.523 -0.399 0.291 -0.279 -4.418 -3.524 -2.702 -0.061" Properties=species:S:1:pos:R:3 pbc="T T T"
Si -2.170 -0.088 -3.066
Fe -1.702 -0.597 -0.699
Si -2.339 2.482 -4.057
Si -3.515 -1.992 -1.625
Co -3.857 -1.374 -4.005
Fe -4.269 1.199 -3.209
Co -1.985 1.853 -1.858
Si -3.791 0.681 -0.994
```

Calculated values
Spin magnetization   0.249 μB per atom
Final energy   -7.1255 eV per atom
SG   P2_1

***

spin magnetization of number 3 (CsScTa)? 0.947 μB per atom